Below is a geometry-optimized PmMg4Ir2 structure, with properties calculated at the PBE level.

DFT formation energy: -381 meV/atom
space-group type: P4_2/mnm
spin magnetization: 0.0 μB per formula unit
crystal system: tetragonal

Unit cell a=8.2048 b=8.2048 c=4.2034 alpha=90.00 beta=90.00 gamma=90.00
Atoms (fractional coordinates):
Pm 0.0000 0.0000 0.0000
Pm 0.5000 0.5000 0.5000
Mg 0.0968 0.3375 0.5000
Mg 0.1625 0.5968 0.0000
Mg 0.3375 0.0968 0.5000
Mg 0.4032 0.8375 0.0000
Mg 0.5968 0.1625 0.0000
Mg 0.6625 0.9032 0.5000
Mg 0.8375 0.4032 0.0000
Mg 0.9032 0.6625 0.5000
Ir 0.2020 0.7980 0.5000
Ir 0.2980 0.2980 0.0000
Ir 0.7020 0.7020 0.0000
Ir 0.7980 0.2020 0.5000


Below is a geometry-optimized Pm3Mg2Ir3 structure, with properties calculated at the PBE level.

DFT formation energy: -550 meV/atom
space-group type: P6_3/mcm
spin magnetization: 0.0 μB per formula unit
crystal system: hexagonal

Unit cell a=8.3770 b=8.3770 c=5.8771 alpha=90.00 beta=90.00 gamma=120.00
Atoms (fractional coordinates):
Pm 0.0000 0.2741 0.2500
Pm 0.0000 0.7259 0.7500
Pm 0.2741 0.0000 0.2500
Pm 0.2741 0.2741 0.7500
Pm 0.7259 0.0000 0.7500
Pm 0.7259 0.7259 0.2500
Mg 0.3333 0.6667 0.0000
Mg 0.3333 0.6667 0.5000
Mg 0.6667 0.3333 0.0000
Mg 0.6667 0.3333 0.5000
Ir 0.0000 0.3898 0.7500
Ir 0.0000 0.6102 0.2500
Ir 0.3898 0.0000 0.7500
Ir 0.3898 0.3898 0.2500
Ir 0.6102 0.0000 0.2500
Ir 0.6102 0.6102 0.7500


Below is a geometry-optimized Pm5Mg4Ir4 structure, with properties calculated at the PBE level.

DFT formation energy: -533 meV/atom
space-group type: I4/m
spin magnetization: 0.0 μB per formula unit
crystal system: tetragonal

Unit cell a=8.5758 b=8.5758 c=8.5758 alpha=93.61 beta=93.61 gamma=150.92
Atoms (fractional coordinates):
Pm 0.0000 0.0000 0.0000
Pm 0.2957 0.6282 0.9239
Pm 0.3718 0.2957 0.6676
Pm 0.6282 0.7043 0.3324
Pm 0.7043 0.3718 0.0761
Mg 0.1052 0.4161 0.5213
Mg 0.4161 0.8948 0.3109
Mg 0.5839 0.1052 0.6891
Mg 0.8948 0.5839 0.4787
Ir 0.0692 0.7510 0.8202
Ir 0.2490 0.0692 0.3181
Ir 0.7510 0.9308 0.6819
Ir 0.9308 0.2490 0.1798


Below is a geometry-optimized Pm2Mg2Ir structure, with properties calculated at the PBE level.

DFT formation energy: -179 meV/atom
space-group type: Immm
energy relative to the lowest polymorph listed for this composition: 0.34 eV per formula unit
spin magnetization: 0.0 μB per formula unit
crystal system: orthorhombic

Unit cell a=6.0425 b=6.0425 c=6.0425 alpha=132.40 beta=129.13 gamma=72.22
Atoms (fractional coordinates):
Pm 0.1818 0.1818 0.0000
Pm 0.8182 0.8182 0.0000
Mg 0.2560 0.5000 0.7560
Mg 0.7440 0.5000 0.2440
Ir 0.5000 0.0000 0.5000


Below is a geometry-optimized PmMgIr structure, with properties calculated at the PBE level.

DFT formation energy: -429 meV/atom
space-group type: R-3m
energy relative to the lowest polymorph listed for this composition: 0.57 eV per formula unit
spin magnetization: 0.0 μB per formula unit
crystal system: trigonal

Unit cell a=7.9746 b=7.9746 c=7.9746 alpha=34.81 beta=34.81 gamma=34.81
Atoms (fractional coordinates):
Pm 0.1184 0.1184 0.1184
Pm 0.8816 0.8816 0.8816
Mg 0.3704 0.3704 0.3704
Mg 0.6296 0.6296 0.6296
Ir 0.2513 0.2513 0.2513
Ir 0.7487 0.7487 0.7487


Below is a geometry-optimized PmMg3Ir2 structure, with properties calculated at the PBE level.

DFT formation energy: -378 meV/atom
space-group type: C2/m
spin magnetization: 0.0 μB per formula unit
crystal system: monoclinic

Unit cell a=8.3756 b=8.3756 c=8.9138 alpha=122.14 beta=122.14 gamma=28.31
Atoms (fractional coordinates):
Pm 0.1362 0.1362 0.1365
Pm 0.8638 0.8638 0.8635
Mg 0.9996 0.9996 0.3398
Mg 0.0004 0.0004 0.6602
Mg 0.3344 0.3344 0.1393
Mg 0.3347 0.3347 0.5292
Mg 0.6653 0.6653 0.4708
Mg 0.6656 0.6656 0.8607
Ir 0.1985 0.1985 0.6987
Ir 0.5000 0.5000 0.1433
Ir 0.5000 0.5000 0.8567
Ir 0.8015 0.8015 0.3013


What is the formula in the third record?
Pm5Mg4Ir4